Version w
VASP calculation (PBE) on a geometry-optimized SmHg4Au structure.

Output
Density of states at the Fermi level = 5.85 states/eV per cell
Space-group type = No. 36

POSCAR file:
```
SmHg4Au
1.0
4.8089 0.0000 -1.5034
0.0000 7.1426 0.0000
0.0579 0.0000 8.6283
Sm Hg Au
2 8 2
direct
0.8267 0.9513 0.6534 Sm
0.1733 0.4513 0.3466 Sm
0.9936 0.2499 0.9873 Hg
0.0064 0.7499 0.0127 Hg
0.4670 0.9880 0.9341 Hg
0.5330 0.4880 0.0659 Hg
0.8081 0.4103 0.6162 Hg
0.1919 0.9103 0.3838 Hg
0.6423 0.1321 0.2845 Hg
0.3577 0.6321 0.7155 Hg
0.6803 0.7018 0.3606 Au
0.3197 0.2018 0.6394 Au
```

Version x
VASP calculation (PBE) on a geometry-optimized SmHg4Au structure.

Output
Density of states at the Fermi level = 6.02 states/eV per cell
Space-group type = No. 11

POSCAR file:
```
SmHg4Au
1.0
4.7596 0.0000 -2.1915
0.0000 7.0051 0.0000
-4.1504 0.0000 10.5713
Sm Hg Au
2 8 2
direct
0.0881 0.7500 0.6592 Sm
0.9119 0.2500 0.3408 Sm
0.6156 0.0139 0.6754 Hg
0.3844 0.5139 0.3246 Hg
0.3844 0.9861 0.3246 Hg
0.6156 0.4861 0.6754 Hg
0.1569 0.2500 0.7026 Hg
0.8431 0.7500 0.2974 Hg
0.0374 0.2500 0.0248 Hg
0.9626 0.7500 0.9752 Hg
0.5000 0.5000 0.0000 Au
0.5000 0.0000 0.0000 Au
```

What is the stability order? It is version w, version x, from most stable to least stable.

Version w
VASP calculation (PBE) on a geometry-optimized Sm2Hg2Au structure.

Output
Density of states at the Fermi level = 3.30 states/eV per cell
Space-group type = No. 65

POSCAR file:
```
Sm2Hg2Au
1.0
3.5204 0.0000 0.0000
0.0000 3.6464 0.6909
0.0000 -0.0578 10.2730
Sm Hg Au
2 2 1
direct
0.5000 0.4066 0.1868 Sm
0.5000 0.5934 0.8132 Sm
0.0000 0.1936 0.6129 Hg
0.0000 0.8064 0.3871 Hg
0.0000 0.0000 0.0000 Au
```

Version x
VASP calculation (PBE) on a geometry-optimized Sm2Hg2Au structure.

Output
Density of states at the Fermi level = 7.59 states/eV per cell
Space-group type = No. 12

POSCAR file:
```
Sm2Hg2Au
1.0
-1.2408 1.4397 3.5693
0.4622 -4.2855 4.1800
9.7291 5.4362 3.4801
Sm Hg Au
4 4 2
direct
0.6643 0.3460 0.3254 Sm
0.9333 0.2472 0.8861 Sm
0.3357 0.6540 0.6746 Sm
0.0667 0.7528 0.1139 Sm
0.1111 0.2371 0.5407 Hg
0.6560 0.7916 0.8964 Hg
0.8889 0.7629 0.4593 Hg
0.3440 0.2084 0.1036 Hg
0.6076 0.0870 0.6977 Au
0.3924 0.9130 0.3023 Au
```

What is the stability order? It is version x, version w, from most stable to least stable.

Version w
VASP calculation (PBE) on a geometry-optimized Sn3HgAu3 structure.

Output
Density of states at the Fermi level = 7.76 states/eV per cell
Space-group type = No. 223

POSCAR file:
```
Sn3HgAu3
1.0
7.7130 0.0000 0.0000
0.0000 7.7130 0.0000
0.0000 0.0000 7.7130
Au Hg Sn
6 2 6
direct
0.2500 0.0000 0.5000 Au
0.0000 0.5000 0.2500 Au
0.5000 0.7500 0.0000 Au
0.7500 0.0000 0.5000 Au
0.0000 0.5000 0.7500 Au
0.5000 0.2500 0.0000 Au
0.5000 0.5000 0.5000 Hg
0.0000 0.0000 0.0000 Hg
0.0000 0.2500 0.5000 Sn
0.0000 0.7500 0.5000 Sn
0.5000 0.0000 0.7500 Sn
0.7500 0.5000 0.0000 Sn
0.5000 0.0000 0.2500 Sn
0.2500 0.5000 0.0000 Sn
```

Version x
VASP calculation (PBE) on a geometry-optimized Sn3HgAu3 structure.

Output
Density of states at the Fermi level = 5.60 states/eV per cell
Space-group type = No. 148

POSCAR file:
```
Sn3HgAu3
1.0
-6.1137 -4.4640 0.7796
0.9893 -5.5219 5.1423
-3.7911 1.2582 6.4775
Sn Hg Au
6 2 6
direct
0.7938 0.3905 0.1024 Sn
0.1024 0.7938 0.3905 Sn
0.3905 0.1024 0.7938 Sn
0.6095 0.8976 0.2062 Sn
0.8976 0.2062 0.6095 Sn
0.2062 0.6095 0.8976 Sn
0.3377 0.3377 0.3377 Hg
0.6623 0.6623 0.6623 Hg
0.5571 0.2803 0.9307 Au
0.2803 0.9307 0.5571 Au
0.9307 0.5571 0.2803 Au
0.0693 0.4429 0.7197 Au
0.7197 0.0693 0.4429 Au
0.4429 0.7197 0.0693 Au
```

What is the stability order? It is version x, version w, from most stable to least stable.

Version w
VASP calculation (PBE) on a geometry-optimized SnHg3Au structure.

Output
Density of states at the Fermi level = 2.78 states/eV per cell
Space-group type = No. 221

POSCAR file:
```
SnHg3Au
1.0
5.3165 0.0000 0.0000
0.0000 5.3165 0.0000
0.0000 0.0000 5.3165
Au Hg Sn
1 3 1
direct
0.0000 0.0000 0.0000 Au
0.0000 0.5000 0.0000 Hg
0.0000 0.0000 0.5000 Hg
0.5000 0.0000 0.0000 Hg
0.5000 0.5000 0.5000 Sn
```

Version x
VASP calculation (PBE) on a geometry-optimized SnHg3Au structure.

Output
Density of states at the Fermi level = 1.78 states/eV per cell
Space-group type = No. 221

POSCAR file:
```
SnHg3Au
1.0
5.5721 0.0000 0.0000
0.0000 5.5721 0.0000
0.0000 0.0000 5.5721
Au Hg Sn
1 3 1
direct
0.5000 0.5000 0.5000 Au
0.0000 0.5000 0.0000 Hg
0.0000 0.0000 0.5000 Hg
0.5000 0.0000 0.0000 Hg
0.0000 0.0000 0.0000 Sn
```

What is the stability order? It is version w, version x, from most stable to least stable.

Version w
VASP calculation (PBE) on a geometry-optimized TlSnHgAu structure.

Output
Density of states at the Fermi level = 1.36 states/eV per cell
Space-group type = No. 216

POSCAR file:
```
TlSnHgAu
1.0
5.2194 0.0000 0.0000
2.6097 4.5201 0.0000
2.6097 1.5067 4.2616
Tl Au Hg Sn
1 1 1 1
direct
0.7500 0.7500 0.7500 Tl
0.5000 0.5000 0.5000 Au
0.0000 0.0000 0.0000 Hg
0.2500 0.2500 0.2500 Sn
```

Version x
VASP calculation (PBE) on a geometry-optimized TlSnHgAu structure.

Output
Density of states at the Fermi level = 1.18 states/eV per cell
Space-group type = No. 1

POSCAR file:
```
TlSnHgAu
1.0
3.5111 -0.0103 0.0400
1.7467 3.0440 0.0296
0.0370 0.0222 9.7939
Tl Sn Hg Au
1 1 1 1
direct
0.9716 0.8400 0.6162 Tl
0.9867 0.8461 0.1720 Sn
0.6416 0.5079 0.8948 Hg
0.6455 0.5093 0.3798 Au
```

What is the stability order? It is version x, version w, from most stable to least stable.

Version w
VASP calculation (PBE) on a geometry-optimized SrHg3Au structure.

Output
Density of states at the Fermi level = 1.59 states/eV per cell
Space-group type = No. 221

POSCAR file:
```
SrHg3Au
1.0
6.3780 0.0000 0.0000
0.0000 6.3780 0.0000
0.0000 0.0000 6.3780
Sr Au Hg
1 1 3
direct
0.0000 0.0000 0.0000 Sr
0.5000 0.5000 0.5000 Au
0.0000 0.5000 0.0000 Hg
0.0000 0.0000 0.5000 Hg
0.5000 0.0000 0.0000 Hg
```

Version x
VASP calculation (PBE) on a geometry-optimized SrHg3Au structure.

Output
Density of states at the Fermi level = 7.32 states/eV per cell
Space-group type = No. 62

POSCAR file:
```
SrHg3Au
1.0
-4.5138 1.5651 -2.3140
-3.4947 -9.8742 0.1383
-3.9123 1.5058 8.6499
Sr Hg Au
4 12 4
direct
0.7500 0.7600 0.9817 Sr
0.2500 0.7400 0.4817 Sr
0.7500 0.2600 0.5183 Sr
0.2500 0.2400 0.0183 Sr
0.2500 0.5749 0.0967 Hg
0.7500 0.4251 0.9033 Hg
0.2500 0.0749 0.4033 Hg
0.7500 0.9251 0.5967 Hg
0.2500 0.4294 0.6580 Hg
0.7500 0.0706 0.1580 Hg
0.2500 0.9294 0.8420 Hg
0.7500 0.6108 0.6594 Hg
0.2500 0.3892 0.3406 Hg
0.7500 0.1108 0.8406 Hg
0.7500 0.5706 0.3420 Hg
0.2500 0.8892 0.1594 Hg
0.2500 0.1611 0.6932 Au
0.2500 0.6611 0.8068 Au
0.7500 0.3389 0.1932 Au
0.7500 0.8389 0.3068 Au
```

Version y
VASP calculation (PBE) on a geometry-optimized SrHg3Au structure.

Output
Density of states at the Fermi level = 5.76 states/eV per cell
Space-group type = No. 63

POSCAR file:
```
SrHg3Au
1.0
-6.1526 1.2615 0.9531
-1.8192 -6.1267 -3.6345
0.8543 -0.6352 6.3558
Sr Hg Au
2 6 2
direct
0.2500 0.5007 0.7503 Sr
0.7500 0.4993 0.2497 Sr
0.5000 0.0000 0.2603 Hg
0.5000 0.0000 0.7397 Hg
0.0000 0.0000 0.2603 Hg
0.0000 0.0000 0.7397 Hg
0.2500 0.2870 0.1435 Hg
0.7500 0.7130 0.8565 Hg
0.2500 0.7038 0.3519 Au
0.7500 0.2962 0.6481 Au
```

Version z
VASP calculation (PBE) on a geometry-optimized SrHg3Au structure.

Output
Density of states at the Fermi level = 2.30 states/eV per cell
Space-group type = No. 221

POSCAR file:
```
SrHg3Au
1.0
5.3822 0.0000 0.0000
0.0000 5.3822 0.0000
0.0000 0.0000 5.3822
Sr Au Hg
1 1 3
direct
0.5000 0.5000 0.5000 Sr
0.0000 0.0000 0.0000 Au
0.0000 0.5000 0.0000 Hg
0.0000 0.0000 0.5000 Hg
0.5000 0.0000 0.0000 Hg
```

What is the stability order? It is version x, version y, version z, version w, from most stable to least stable.

Version w
VASP calculation (PBE) on a geometry-optimized Sr3HgAu3 structure.

Output
Density of states at the Fermi level = 8.07 states/eV per cell
Space-group type = No. 176

POSCAR file:
```
Sr3HgAu3
1.0
-5.1839 2.6158 -2.4720
-3.7688 0.7063 8.6507
5.2293 7.0793 -3.4750
Sr Hg Au
6 2 6
direct
0.7500 0.6893 0.6449 Sr
0.7500 0.3551 0.0444 Sr
0.7500 0.9556 0.3107 Sr
0.2500 0.3107 0.3551 Sr
0.2500 0.6449 0.9556 Sr
0.2500 0.0444 0.6893 Sr
0.2500 0.6667 0.3333 Hg
0.7500 0.3333 0.6667 Hg
0.2500 0.6819 0.6455 Au
0.2500 0.3545 0.0364 Au
0.2500 0.9636 0.3181 Au
0.7500 0.3181 0.3545 Au
0.7500 0.6455 0.9636 Au
0.7500 0.0364 0.6819 Au
```

Version x
VASP calculation (PBE) on a geometry-optimized Sr3HgAu3 structure.

Output
Density of states at the Fermi level = 7.21 states/eV per cell
Space-group type = No. 12

POSCAR file:
```
Sr3HgAu3
1.0
-0.8939 -2.7505 -3.4699
3.9852 -4.9971 -0.0059
-9.4730 -9.6964 7.1862
Sr Hg Au
6 2 6
direct
0.5238 0.3359 0.6165 Sr
0.4762 0.6641 0.3835 Sr
0.2646 0.2434 0.2274 Sr
0.7354 0.7566 0.7726 Sr
0.3928 0.2902 0.9242 Sr
0.6072 0.7098 0.0758 Sr
0.7694 0.0727 0.3884 Hg
0.2306 0.9273 0.6116 Hg
0.8767 0.7038 0.5428 Au
0.1233 0.2962 0.4572 Au
0.1103 0.8559 0.9236 Au
0.8897 0.1441 0.0764 Au
0.9849 0.8032 0.2271 Au
0.0151 0.1968 0.7729 Au
```

What is the stability order? It is version x, version w, from most stable to least stable.

Version w
VASP calculation (PBE) on a geometry-optimized Sr3Hg2Au structure.

Output
Density of states at the Fermi level = 2.96 states/eV per cell
Space-group type = No. 123

POSCAR file:
```
Sr3Hg2Au
1.0
3.9151 0.0000 0.0000
0.0000 3.9151 0.0000
0.0000 0.0000 12.0458
Sr Hg Au
3 2 1
direct
0.0000 0.0000 0.0000 Sr
0.0000 0.0000 0.6567 Sr
0.0000 0.0000 0.3433 Sr
0.5000 0.5000 0.8304 Hg
0.5000 0.5000 0.1696 Hg
0.5000 0.5000 0.5000 Au
```

Version x
VASP calculation (PBE) on a geometry-optimized Sr3Hg2Au structure.

Output
Density of states at the Fermi level = 9.35 states/eV per cell
Space-group type = No. 65

POSCAR file:
```
Sr3Hg2Au
1.0
5.5960 0.0000 0.0219
2.7980 8.4265 0.0109
-0.0322 0.0000 7.8489
Sr Hg Au
6 4 2
direct
0.8306 0.3395 0.7594 Sr
0.4996 0.0000 0.2455 Sr
0.1694 0.6605 0.2406 Sr
0.8299 0.3395 0.2406 Sr
0.1701 0.6605 0.7594 Sr
0.5004 0.0000 0.7545 Sr
0.0000 0.0000 0.0000 Hg
0.0000 0.0000 0.5000 Hg
0.3332 0.3337 0.5000 Hg
0.6668 0.6663 0.5000 Hg
0.3375 0.3250 0.0000 Au
0.6625 0.6750 0.0000 Au
```

What is the stability order? It is version w, version x, from most stable to least stable.